(1)
# SiSb2S5

SiSb2S5 after structural relaxation (PBE-GGA, the Alexandria database).

a = 5.205 Å, b = 14.839 Å, c = 10.928 Å
α = 90.00°, β = 90.00°, γ = 90.00°
Space group Cmcm (No. 63)
Symmetry-distinct sites (fractional):
Si1 0.000 0.164 0.250
Sb1 0.000 0.160 0.581
S1 0.000 0.062 0.109
S2 0.000 0.279 0.094
S3 0.000 0.307 0.750

total magnetic moment = 0.000 μB/cell
V = 26.379 Å³ per atom
ΔE_f (raw) = -0.144 eV per atom


(2)
# Si2SbS

Si2SbS after structural relaxation (PBE-GGA, the Alexandria database).

a = 5.186 Å, b = 5.186 Å, c = 14.057 Å
α = 90.00°, β = 90.00°, γ = 90.00°
Space group I-42d (No. 122)
Symmetry-distinct sites (fractional):
Si1 0.186 0.250 0.125
Sb1 0.000 0.000 0.500
S1 0.000 0.000 0.000

total magnetic moment = 0.000 μB/cell
V = 23.634 Å³ per atom
ΔE_f (raw) = 0.356 eV per atom


Question: Number 1 is which compound?
Answer: SiSb2S5


Repeat the second record exactly.
# Si2SbS

Si2SbS after structural relaxation (PBE-GGA, the Alexandria database).

a = 5.186 Å, b = 5.186 Å, c = 14.057 Å
α = 90.00°, β = 90.00°, γ = 90.00°
Space group I-42d (No. 122)
Symmetry-distinct sites (fractional):
Si1 0.186 0.250 0.125
Sb1 0.000 0.000 0.500
S1 0.000 0.000 0.000

total magnetic moment = 0.000 μB/cell
V = 23.634 Å³ per atom
ΔE_f (raw) = 0.356 eV per atom


Question: Which of these has the highest V?
Answer: SiSb2S5